This record from Alexandria describes a relaxed structure of La2BeFe. The functional is PBE.

As for the energy of formation from the pure elements: 185.1 meV/atom. For the total energy, the calculation gives -42.61 eV per cell.

Cell: 3.6100 4.7078 10.2002 Å, 90.00 90.00 90.00°
Last column: nearest neighbours and their distance in Å.
Space group Imm2 (No. 44)
Symmetry-distinct sites (fractional):
La1 0.0000 0.0000 0.0000  4 Fe 3.08, 2 La 3.15, 2 Be 3.17
La2 0.0000 0.5000 0.2047  4 Be 3.10, 2 La 3.15, 4 Fe 3.22-3.42
Be1 0.0000 0.5000 0.7920  2 Fe 2.23
Fe1 0.0000 0.0000 0.4198  2 Be 2.23